# 1
# PBE TbDy2Hf, optimized geometry
data_TbDy2Hf
_symmetry_space_group_name_H-M 'P 1'
_symmetry_Int_Tables_number 1
_symmetry_space_group_name_Hall 'P 1'
_cell_length_a 3.441
_cell_length_b 3.441
_cell_length_c 33.560
_cell_angle_alpha 90.00
_cell_angle_beta 90.00
_cell_angle_gamma 120.00
loop_
_atom_site_label
_atom_site_fract_x
_atom_site_fract_y
_atom_site_fract_z
_atom_site_occupancy
Tb1 0.000 0.000 0.000 1
Tb2 0.333 0.667 0.667 1
Tb3 0.667 0.333 0.333 1
Dy1 0.000 0.000 0.578 1
Dy2 0.000 0.000 0.755 1
Dy3 0.333 0.667 0.245 1
Dy4 0.333 0.667 0.422 1
Dy5 0.667 0.333 0.089 1
Dy6 0.667 0.333 0.911 1
Hf1 0.000 0.000 0.167 1
Hf2 0.333 0.667 0.833 1
Hf3 0.667 0.333 0.500 1
# E_tot, eV/atom: -5.84
# Energy of formation from the pure elements, eV/atom: 0.110
# V, Å³/cell: 344.0

---

# 2
# PBE TbDy2Hf, optimized geometry
data_TbDy2Hf
_symmetry_space_group_name_H-M 'P 1'
_symmetry_Int_Tables_number 1
_symmetry_space_group_name_Hall 'P 1'
_cell_length_a 4.843
_cell_length_b 4.843
_cell_length_c 4.846
_cell_angle_alpha 90.00
_cell_angle_beta 90.00
_cell_angle_gamma 90.00
loop_
_atom_site_label
_atom_site_fract_x
_atom_site_fract_y
_atom_site_fract_z
_atom_site_occupancy
Tb1 0.000 0.000 0.000 1
Dy1 0.000 0.500 0.500 1
Dy2 0.500 0.000 0.500 1
Hf1 0.500 0.500 0.000 1
# E_tot, eV/atom: -5.80
# Energy of formation from the pure elements, eV/atom: 0.143
# V, Å³/cell: 113.7

---

# 3
# PBE TbDyHf, optimized geometry
data_TbDyHf
_symmetry_space_group_name_H-M 'P 1'
_symmetry_Int_Tables_number 1
_symmetry_space_group_name_Hall 'P 1'
_cell_length_a 3.391
_cell_length_b 4.699
_cell_length_c 10.479
_cell_angle_alpha 90.00
_cell_angle_beta 90.00
_cell_angle_gamma 90.00
loop_
_atom_site_label
_atom_site_fract_x
_atom_site_fract_y
_atom_site_fract_z
_atom_site_occupancy
Tb1 0.250 0.250 0.091 1
Tb2 0.750 0.750 0.909 1
Dy1 0.250 0.250 0.730 1
Dy2 0.750 0.750 0.270 1
Hf1 0.250 0.250 0.432 1
Hf2 0.750 0.750 0.568 1
# E_tot, eV/atom: -6.27
# Energy of formation from the pure elements, eV/atom: 0.129
# V, Å³/cell: 167.0

---

# 4
# PBE TbDyHf, optimized geometry
data_TbDyHf
_symmetry_space_group_name_H-M 'P 1'
_symmetry_Int_Tables_number 1
_symmetry_space_group_name_Hall 'P 1'
_cell_length_a 3.362
_cell_length_b 3.362
_cell_length_c 14.850
_cell_angle_alpha 90.00
_cell_angle_beta 90.00
_cell_angle_gamma 90.00
loop_
_atom_site_label
_atom_site_fract_x
_atom_site_fract_y
_atom_site_fract_z
_atom_site_occupancy
Tb1 0.000 0.000 0.000 1
Tb2 0.500 0.500 0.500 1
Dy1 0.000 0.000 0.310 1
Dy2 0.500 0.500 0.810 1
Hf1 0.000 0.000 0.656 1
Hf2 0.500 0.500 0.156 1
# E_tot, eV/atom: -6.27
# Energy of formation from the pure elements, eV/atom: 0.121
# V, Å³/cell: 167.9

---

# 5
# PBE TbDyHf, optimized geometry
data_TbDyHf
_symmetry_space_group_name_H-M 'P 1'
_symmetry_Int_Tables_number 1
_symmetry_space_group_name_Hall 'P 1'
_cell_length_a 5.340
_cell_length_b 5.340
_cell_length_c 3.379
_cell_angle_alpha 90.00
_cell_angle_beta 90.00
_cell_angle_gamma 120.00
loop_
_atom_site_label
_atom_site_fract_x
_atom_site_fract_y
_atom_site_fract_z
_atom_site_occupancy
Tb1 0.000 0.000 0.000 1
Dy1 0.333 0.667 0.500 1
Hf1 0.667 0.333 0.500 1
# E_tot, eV/atom: -6.18
# Energy of formation from the pure elements, eV/atom: 0.210
# V, Å³/cell: 83.4

---

# 6
# PBE TbDy2Hf, optimized geometry
data_TbDy2Hf
_symmetry_space_group_name_H-M 'P 1'
_symmetry_Int_Tables_number 1
_symmetry_space_group_name_Hall 'P 1'
_cell_length_a 3.338
_cell_length_b 3.338
_cell_length_c 35.936
_cell_angle_alpha 90.00
_cell_angle_beta 90.00
_cell_angle_gamma 120.00
loop_
_atom_site_label
_atom_site_fract_x
_atom_site_fract_y
_atom_site_fract_z
_atom_site_occupancy
Tb1 0.000 0.000 0.000 1
Tb2 0.333 0.667 0.667 1
Tb3 0.667 0.333 0.333 1
Dy1 0.000 0.000 0.414 1
Dy2 0.000 0.000 0.586 1
Dy3 0.333 0.667 0.080 1
Dy4 0.333 0.667 0.253 1
Dy5 0.667 0.333 0.747 1
Dy6 0.667 0.333 0.920 1
Hf1 0.000 0.000 0.500 1
Hf2 0.333 0.667 0.167 1
Hf3 0.667 0.333 0.833 1
# E_tot, eV/atom: -5.58
# Energy of formation from the pure elements, eV/atom: 0.362
# V, Å³/cell: 346.9

---

# 7
# PBE TbDyHfTh, optimized geometry
data_TbDyHfTh
_symmetry_space_group_name_H-M 'P 1'
_symmetry_Int_Tables_number 1
_symmetry_space_group_name_Hall 'P 1'
_cell_length_a 7.732
_cell_length_b 7.732
_cell_length_c 7.732
_cell_angle_alpha 90.00
_cell_angle_beta 90.00
_cell_angle_gamma 90.00
loop_
_atom_site_label
_atom_site_fract_x
_atom_site_fract_y
_atom_site_fract_z
_atom_site_occupancy
Tb1 0.000 0.000 0.000 1
Tb2 0.000 0.500 0.500 1
Tb3 0.500 0.000 0.500 1
Tb4 0.500 0.500 0.000 1
Dy1 0.250 0.250 0.750 1
Dy2 0.250 0.750 0.250 1
Dy3 0.750 0.250 0.250 1
Dy4 0.750 0.750 0.750 1
Hf1 0.250 0.250 0.250 1
Hf2 0.250 0.750 0.750 1
Hf3 0.750 0.250 0.750 1
Hf4 0.750 0.750 0.250 1
Th1 0.000 0.000 0.500 1
Th2 0.000 0.500 0.000 1
Th3 0.500 0.000 0.000 1
Th4 0.500 0.500 0.500 1
# E_tot, eV/atom: -6.44
# Energy of formation from the pure elements, eV/atom: 0.214
# V, Å³/cell: 462.2

---

# 8
# PBE DyHfTc2, optimized geometry
data_DyHfTc2
_symmetry_space_group_name_H-M 'P 1'
_symmetry_Int_Tables_number 1
_symmetry_space_group_name_Hall 'P 1'
_cell_length_a 3.327
_cell_length_b 3.327
_cell_length_c 6.767
_cell_angle_alpha 90.00
_cell_angle_beta 90.00
_cell_angle_gamma 90.00
loop_
_atom_site_label
_atom_site_fract_x
_atom_site_fract_y
_atom_site_fract_z
_atom_site_occupancy
Dy1 0.000 0.000 0.000 1
Hf1 0.000 0.000 0.500 1
Tc1 0.500 0.500 0.270 1
Tc2 0.500 0.500 0.730 1
# E_tot, eV/atom: -8.95
# Energy of formation from the pure elements, eV/atom: -0.129
# V, Å³/cell: 74.9

---

V of number 7 (TbDyHfTh)? 462.2 Å³/cell